Mn3CuP4O16 (PBEsol, relaxed); E_form (uncorrected) = -1840.1 meV/atom; DOS at the Fermi energy = 0.11 states/eV/atom
1.0
4.7442 0.0000 0.0000
0.0000 5.7792 0.0000
-0.1463 0.0000 9.6287
Mn Cu P O
3 1 4 16
direct
0.0000 0.0000 0.0000
0.1123 0.5000 0.5577
0.6194 0.0000 0.4981
0.4695 0.5000 0.0544
0.1560 0.0000 0.6851
0.4406 0.0000 0.1781
0.6450 0.5000 0.3702
0.9607 0.5000 0.8692
0.2213 0.0000 0.8414
0.2720 0.2013 0.1050
0.2720 0.7987 0.1050
0.2802 0.5000 0.8827
0.3037 0.2071 0.6105
0.3037 0.7929 0.6105
0.3273 0.5000 0.3982
0.3972 0.0000 0.3356
0.6979 0.5000 0.2162
0.7564 0.0000 0.1512
0.8005 0.2935 0.4467
0.8005 0.7065 0.4467
0.8182 0.2844 0.9389
0.8182 0.7156 0.9389
0.8358 0.0000 0.6607
0.8848 0.5000 0.7117